# 1
First-principles (GGA-PBE) data for a relaxed structure of TaBeOs2, as listed in Alexandria via LeMat-Bulk.

The structure in POSCAR format:
```
TaBeOs2
1.0
6.1202 0.0000 0.0000
0.0000 6.1202 0.0000
0.0000 0.0000 6.1202
Ta Be Os
4 4 8
direct
0.0000 0.0000 0.0000
0.0000 0.5000 0.5000
0.5000 0.0000 0.5000
0.5000 0.5000 0.0000
0.2500 0.2500 0.2500
0.2500 0.7500 0.7500
0.7500 0.2500 0.7500
0.7500 0.7500 0.2500
0.0000 0.0000 0.5000
0.0000 0.5000 0.0000
0.2500 0.2500 0.7500
0.2500 0.7500 0.2500
0.5000 0.0000 0.0000
0.5000 0.5000 0.5000
0.7500 0.2500 0.2500
0.7500 0.7500 0.7500
```

Output
- calculated formation energy (eV per atom) = 0.209
- total moment (μB per cell) = 0.00
- density (g/cm³) = 16.53
- E (eV per formula unit) = -37.202

---

# 2
First-principles (GGA-PBE) data for a relaxed structure of Sr2HfTe4, as listed in Alexandria via LeMat-Bulk.

The structure in POSCAR format:
```
Sr2HfTe4
1.0
5.5523 0.0000 0.0000
0.0000 5.5523 0.0000
0.0000 0.0000 16.7926
Sr Hf Te
4 2 8
direct
0.0000 0.0000 0.1368
0.0000 0.0000 0.8632
0.5000 0.5000 0.3632
0.5000 0.5000 0.6368
0.0000 0.0000 0.5000
0.5000 0.5000 0.0000
0.0000 0.0000 0.3278
0.0000 0.0000 0.6722
0.0000 0.5000 0.0000
0.0000 0.5000 0.5000
0.5000 0.0000 0.0000
0.5000 0.0000 0.5000
0.5000 0.5000 0.1722
0.5000 0.5000 0.8278
```

Output
- total moment (μB per cell) = 0.00
- density (g/cm³) = 5.54
- uncorrected formation energy (eV/atom) = -1.12
- E (eV per formula unit) = -33.721

---

# 3
First-principles (GGA-PBE) data for a relaxed structure of GdHo2Pd, as listed in Alexandria via LeMat-Bulk.

The structure in POSCAR format:
```
GdHo2Pd
1.0
3.5542 0.0000 0.0000
0.0000 3.5542 0.0000
0.0000 0.0000 8.5032
Gd Ho Pd
1 2 1
direct
0.0000 0.0000 0.0000
0.5000 0.5000 0.3044
0.5000 0.5000 0.6956
0.0000 0.0000 0.5000
```

Output
- calculated formation energy (eV per atom) = -0.418
- energy above the most stable polymorph in this dataset (eV/atom) = 0.000
- total moment (μB per cell) = 7.77
- density (g/cm³) = 9.18
- E (eV per formula unit) = -30.101